VASP calculation (GGA+U) on crystalline Sr2MnGaO5 at its relaxed geometry.

Cell: 9.0409 9.0093 5.5810 Å, 72.30 71.68 36.02°
With the nearest neighbours (Å) after each atom.
Element x y z (fractional)
Sr 0.0942 0.6268 0.3732  6 O 2.40-2.68
Sr 0.3732 0.9058 0.0942  6 O 2.40-2.68
Sr 0.6268 0.0942 0.9058  6 O 2.40-2.68
Sr 0.9058 0.3732 0.6268  6 O 2.40-2.68
Mn 0.0000 0.5000 0.0000  4 O 1.96-1.99
Mn 0.5000 0.0000 0.5000  4 O 1.96-1.99
Ga 0.3192 0.6808 0.6808  4 O 1.85-1.94
Ga 0.6808 0.3192 0.3192  4 O 1.85-1.94
O 0.1183 0.6731 0.8817  1 Ga 1.85
O 0.2500 0.2500 0.2500  2 Mn 1.99
O 0.2579 0.2579 0.7421  2 Mn 1.96
O 0.3269 0.8817 0.6731  1 Ga 1.85
O 0.3327 0.6673 0.3327  2 Ga 1.94
O 0.6673 0.3327 0.6673  2 Ga 1.94
O 0.6731 0.1183 0.3269  1 Ga 1.85
O 0.7421 0.7421 0.2579  2 Mn 1.96
O 0.7500 0.7500 0.7500  2 Mn 1.99
O 0.8817 0.3269 0.1183  1 Ga 1.85

Excess energy over the best structure of this formula in the dataset (meV per atom): 21